Entry 1:
Entry from the Alexandria database: a geometry-optimized ScB2F structure (PBE).

Cell and atoms, written as POSCAR:
```
ScB2F
1.0
-4.286 6.379 1.190
-5.712 -3.031 -4.320
-5.716 0.916 -0.084
F Sc B
2 2 4
Direct
0.250 0.750 0.500 F
0.500 0.500 0.000 F
0.750 0.250 0.500 Sc
0.000 0.000 0.000 Sc
0.635 0.125 0.250 B
0.115 0.625 0.250 B
0.375 0.365 0.750 B
0.875 0.885 0.750 B
```

Results
magnetic moment: 0.00 μB/f.u.
formation energy (no corrections): -0.553 eV/atom
polymorph energy (0 for the lowest one): 0.000 eV/atom
E_tot: -47.5 eV/cell

Entry 2:
Entry from the Alexandria database: a geometry-optimized Sc2BF structure (PBE).

Cell and atoms, written as POSCAR:
```
Sc2BF
1.0
4.909 0.000 0.000
0.000 4.909 0.000
2.454 2.454 5.658
F Sc B
2 4 2
Direct
0.000 0.000 0.000 F
0.750 0.250 0.500 F
0.624 0.125 0.250 Sc
0.375 0.376 0.750 Sc
0.126 0.625 0.250 Sc
0.875 0.874 0.750 Sc
0.500 0.500 0.000 B
0.250 0.750 0.500 B
```

Results
magnetic moment: 0.00 μB/f.u.
formation energy (no corrections): -1.131 eV/atom
polymorph energy (0 for the lowest one): 0.308 eV/atom
E_tot: -51.5 eV/cell

Entry 3:
Entry from the Alexandria database: a geometry-optimized Sc2BF structure (PBE).

Cell and atoms, written as POSCAR:
```
Sc2BF
1.0
2.869 -2.972 1.055
0.590 -1.034 4.093
-1.296 -3.794 1.448
Sc F B
2 1 1
Direct
0.250 0.250 0.250 Sc
0.750 0.750 0.750 Sc
0.500 0.500 0.500 F
0.000 0.000 0.000 B
```

Results
magnetic moment: 0.00 μB/f.u.
formation energy (no corrections): -0.968 eV/atom
polymorph energy (0 for the lowest one): 0.470 eV/atom
E_tot: -25.1 eV/cell

Entry 4:
Entry from the Alexandria database: a geometry-optimized Sc3BF structure (PBE).

Cell and atoms, written as POSCAR:
```
Sc3BF
1.0
4.271 0.000 0.000
0.000 4.271 0.000
0.000 0.000 4.271
Sc B F
3 1 1
Direct
0.000 0.500 0.000 Sc
0.500 0.000 0.000 Sc
0.000 0.000 0.500 Sc
0.500 0.500 0.500 B
0.000 0.000 0.000 F
```

Results
magnetic moment: 0.00 μB/f.u.
formation energy (no corrections): -0.474 eV/atom
polymorph energy (0 for the lowest one): 0.000 eV/atom
E_tot: -29.9 eV/cell

Q: E_tot of number 2 (Sc2BF)?
A: -51.5 eV/cell

Q: Which value of magnetic moment does entry 4 give?
A: 0.00 μB/f.u.

Q: Which of these has the lowest E_tot?
A: number 2